Entry 1:
Below is crystalline TaCo3Re at its relaxed geometry, with properties calculated at the PBE level.

Computed properties:
Calculated volume: 82.24 Å³ per cell
ΔH_f (0 K): 1.447 eV/atom

a b c (Å): 4.349 4.349 4.349
angles (deg): 90.00 90.00 90.00
Fractional positions:
1 Ta 0.000 0.000 0.000
2 Co 0.000 0.500 0.500
3 Co 0.500 0.000 0.500
4 Co 0.500 0.500 0.000
5 Re 0.500 0.500 0.500

Entry 2:
Below is crystalline Zr2CoAu2 at its relaxed geometry, with properties calculated at the PBE level.

Computed properties:
Calculated volume: 194.12 Å³ per cell
ΔH_f (0 K): -0.163 eV/atom

a b c (Å): 7.192 7.192 3.753
angles (deg): 90.00 90.00 90.00
Fractional positions:
1 Zr 0.174 0.326 0.000
2 Zr 0.326 0.826 0.000
3 Zr 0.674 0.174 0.000
4 Zr 0.826 0.674 0.000
5 Co 0.000 0.000 0.500
6 Co 0.500 0.500 0.500
7 Au 0.134 0.634 0.500
8 Au 0.366 0.134 0.500
9 Au 0.634 0.866 0.500
10 Au 0.866 0.366 0.500

Number 1: total moment 0.0 Bohr magnetons per cell. Number 2: total moment 1.3 Bohr magnetons per cell.